The following is a PBE-GGA calculation of CaZrBe2 after structural relaxation, from the Alexandria database.

The space group is R-3m (No. 166, hexagonal axes) and the conventional cell measures 3.4457, 3.4457 and 23.8117 Å, with angles of 90.00, 90.00 and 120.00 degrees. The asymmetric unit holds Ca at (0.0000, 0.0000, 0.0000), Zr at (0.0000, 0.0000, 0.5000) and Be at (0.0000, 0.0000, 0.2419).

The value obtained for the total DFT energy (no corrections) is -3.930 eV per atom. The calculated formation energy is 0.571 eV per atom.

---

The following is a PBE-GGA calculation of As6Ir7 after structural relaxation, from the Alexandria database.

The space group is R-3m (No. 166, hexagonal axes) and the conventional cell measures 5.5173, 5.5173 and 25.7238 Å, with angles of 90.00, 90.00 and 120.00 degrees. The asymmetric unit holds As at (0.0000, 0.0000, 0.0579), As at (0.0000, 0.0000, 0.1840), As at (0.0000, 0.0000, 0.3298), Ir at (0.0000, 0.0000, 0.5000) and Ir at (0.0090, 0.5045, 0.0760).

The value obtained for the total DFT energy (no corrections) is -6.719 eV per atom. The calculated formation energy is 0.199 eV per atom.